A relaxed structure of LiTa. Source: the Alexandria database, functional PBE.

Structure (CIF):
```
data_LiTa
_chemical_formula_sum 'Li8 Ta8'
_symmetry_space_group_name_H-M 'P 1'
_symmetry_Int_Tables_number 1
_symmetry_space_group_name_Hall 'P 1'
_cell_length_a 10.784
_cell_length_b 10.784
_cell_length_c 2.914
_cell_angle_alpha 90.00
_cell_angle_beta 90.00
_cell_angle_gamma 90.00
loop_
_atom_site_label
_atom_site_fract_x
_atom_site_fract_y
_atom_site_fract_z
Li1 0.705 0.295 0.500
Ta1 0.500 0.845 0.000
Ta2 0.155 0.500 0.000
Li2 0.871 0.871 0.000
Ta3 0.000 0.348 0.500
Ta4 0.348 0.000 0.500
Ta5 0.845 0.500 0.000
Li3 0.129 0.871 0.000
Li4 0.295 0.295 0.500
Li5 0.129 0.129 0.000
Ta6 0.500 0.155 0.000
Li6 0.871 0.129 0.000
Li7 0.295 0.705 0.500
Li8 0.705 0.705 0.500
Ta7 0.000 0.652 0.500
Ta8 0.652 0.000 0.500
```

A relaxed structure of LiTa. Source: the Alexandria database, functional PBE.

Structure (CIF):
```
data_LiTa
_chemical_formula_sum 'Li2 Ta2'
_symmetry_space_group_name_H-M 'P 1'
_symmetry_Int_Tables_number 1
_symmetry_space_group_name_Hall 'P 1'
_cell_length_a 4.345
_cell_length_b 4.345
_cell_length_c 4.838
_cell_angle_alpha 90.00
_cell_angle_beta 90.00
_cell_angle_gamma 120.00
loop_
_atom_site_label
_atom_site_fract_x
_atom_site_fract_y
_atom_site_fract_z
Li1 0.333 0.667 0.250
Li2 0.667 0.333 0.750
Ta1 0.667 0.333 0.250
Ta2 0.333 0.667 0.750
```

A relaxed structure of Li4Ta3. Source: the Alexandria database, functional PBE.

Structure (CIF):
```
data_Li4Ta3
_chemical_formula_sum 'Li4 Ta3'
_symmetry_space_group_name_H-M 'P 1'
_symmetry_Int_Tables_number 1
_symmetry_space_group_name_Hall 'P 1'
_cell_length_a 5.301
_cell_length_b 5.301
_cell_length_c 5.563
_cell_angle_alpha 90.00
_cell_angle_beta 90.00
_cell_angle_gamma 120.00
loop_
_atom_site_label
_atom_site_fract_x
_atom_site_fract_y
_atom_site_fract_z
Li1 0.000 0.000 0.740
Li2 0.333 0.667 0.500
Ta1 0.500 0.500 0.000
Ta2 0.500 0.000 0.000
Li3 0.667 0.333 0.500
Ta3 0.000 0.500 0.000
Li4 0.000 0.000 0.260
```

no.,N(E_F) (states/eV/atom),formation energy (meV/atom)
1,0.829,513
2,1.322,2209
3,0.531,525